First-principles (GGA-PBE) data for a relaxed structure of CeNi4Os, as listed in the Alexandria database.

## Properties
DFT total energy	-6.775	eV per atom

Cell: 4.8933 4.8933 4.8933 Å, 60.00 60.00 60.00°
Sites, in units of the cell vectors:
Ce: 0.0000 0.0000 0.0000
Ni: 0.3768 0.3768 0.3768
Ni: 0.3768 0.3768 0.8696
Ni: 0.3768 0.8696 0.3768
Ni: 0.8696 0.3768 0.3768
Os: 0.7500 0.7500 0.7500

First-principles (GGA-PBE) data for a relaxed structure of Ce6NiOs3, as listed in the Alexandria database.

## Properties
DFT total energy	-7.622	eV per atom

Cell: 6.8214 7.3520 11.9714 Å, 90.00 124.16 90.00°
Sites, in units of the cell vectors:
Ce: 0.0654 0.0755 0.2511
Ce: 0.0654 0.4245 0.7511
Ce: 0.2456 0.6735 0.0734
Ce: 0.2456 0.8265 0.5734
Ce: 0.4026 0.1725 0.0719
Ce: 0.4026 0.3275 0.5719
Ce: 0.5974 0.6725 0.4281
Ce: 0.5974 0.8275 0.9281
Ce: 0.7544 0.1735 0.4266
Ce: 0.7544 0.3265 0.9266
Ce: 0.9346 0.5755 0.2489
Ce: 0.9346 0.9245 0.7489
Ni: 0.5000 0.0000 0.5000
Ni: 0.5000 0.5000 0.0000
Os: 0.0000 0.0000 0.0000
Os: 0.0000 0.5000 0.5000
Os: 0.2742 0.1095 0.7513
Os: 0.2742 0.3905 0.2513
Os: 0.7258 0.6095 0.7487
Os: 0.7258 0.8905 0.2487